(1)
NaSeN3 | PBEsol | optimized geometry

a b c (Å): 4.2367 4.2367 4.2367
angles (deg): 90.00 90.00 90.00
Closest atoms and distances in Å follow each position.
Atoms (fractional coordinates):
Na: 0.0000 0.0000 0.0000  6 N 2.12
Se: 0.5000 0.5000 0.5000  12 N 3.00
N: 0.0000 0.0000 0.5000  2 Na 2.12
N: 0.0000 0.5000 0.0000  2 Na 2.12
N: 0.5000 0.0000 0.0000  2 Na 2.12

Values from the calculation:
- energy (eV/atom) = -3.31
- formation energy (no corrections) (eV/atom) = 2.8588

***

(2)
NaTcSe2N | PBEsol | optimized geometry

a b c (Å): 5.0375 5.0375 4.0042
angles (deg): 90.00 90.00 90.00
Closest atoms and distances in Å follow each position.
Atoms (fractional coordinates):
Na: 0.0000 0.0000 0.0000  2 N 2.00
Tc: 0.5000 0.5000 0.5000  8 Se 3.22, 4 N 3.56
Se: 0.0000 0.5000 0.0000  2 Na 2.52
Se: 0.5000 0.0000 0.0000  2 Na 2.52
N: 0.0000 0.0000 0.5000  2 Na 2.00

Values from the calculation:
- energy (eV/atom) = -3.97
- formation energy (no corrections) (eV/atom) = 1.8075

***

(3)
NaTlSe2N | PBEsol | optimized geometry

a b c (Å): 5.4693 5.4693 4.3510
angles (deg): 90.00 90.00 90.00
Closest atoms and distances in Å follow each position.
Atoms (fractional coordinates):
Na: 0.0000 0.0000 0.0000  8 Se 3.49, 4 N 3.87
Tl: 0.5000 0.5000 0.5000  2 N 2.18
Se: 0.0000 0.5000 0.5000  2 Tl 2.73
Se: 0.5000 0.0000 0.5000  2 Tl 2.73
N: 0.5000 0.5000 0.0000  2 Tl 2.18

Values from the calculation:
- energy (eV/atom) = -3.35
- formation energy (no corrections) (eV/atom) = 0.7039

***

Total magnetization (Bohr magnetons per cell)
5.56; 6.64; 2.58